This record from Alexandria describes a relaxed Ho6TeC4 crystal. The functional is GGA-PBE.

- E_tot (eV/atom) = -6.62
- density of states at the Fermi level (states/eV/f.u.) = 2.8
- formation energy without anion corrections (meV per atom) = -480

abc: 3.6976 6.3599 19.0112
angles: 90.00 90.00 106.90
Closest atoms and distances in Å follow each position.
Sites, in units of the cell vectors:
Ho 0.0347 0.0694 0.3546  3 C 2.33-2.42
Ho 0.6456 0.2911 0.7500  2 C 2.43
Ho 0.5000 0.0000 0.5000  6 C 2.61-2.66
Ho 0.2232 0.4465 0.9239  5 C 2.48-2.64
Ho 0.2232 0.4465 0.5761  5 C 2.48-2.64
Ho 0.9653 0.9306 0.8546  3 C 2.33-2.42
Ho 0.7768 0.5535 0.4239  5 C 2.48-2.64
Ho 0.5000 0.0000 0.0000  6 C 2.61-2.66
Ho 0.3544 0.7089 0.2500  2 C 2.43
Ho 0.9653 0.9306 0.6454  3 C 2.33-2.42
Ho 0.0347 0.0694 0.1454  3 C 2.33-2.42
Ho 0.7768 0.5535 0.0761  5 C 2.48-2.64
C 0.4096 0.8193 0.1273  6 Ho 2.42-2.66
C 0.5904 0.1807 0.8727  6 Ho 2.42-2.66
C 0.8630 0.7259 0.5418  4 Ho 2.33-2.60
C 0.5904 0.1807 0.6273  6 Ho 2.42-2.66
C 0.1370 0.2741 0.0418  4 Ho 2.33-2.60
C 0.1370 0.2741 0.4582  4 Ho 2.33-2.60
C 0.8630 0.7259 0.9582  4 Ho 2.33-2.60
C 0.4096 0.8193 0.3727  6 Ho 2.42-2.66
Te 0.6607 0.3213 0.2500  6 Ho 3.00-3.12
Te 0.3393 0.6787 0.7500  6 Ho 3.00-3.12

This record from Alexandria describes a relaxed La3PbN crystal. The functional is GGA-PBE.

- E_tot (eV/atom) = -6.17
- density of states at the Fermi level (states/eV/f.u.) = 4.8
- formation energy without anion corrections (meV per atom) = -802

abc: 17.6053 6.6639 6.6639
angles: 132.08 143.39 36.61
Closest atoms and distances in Å follow each position.
Sites, in units of the cell vectors:
La 0.0683 0.5774 0.4226  3 N 2.64-2.72
La 0.6621 0.1988 0.8012  1 N 2.46
La 0.8114 0.2934 0.7066  2 N 2.46-2.58
La 0.9317 0.4226 0.5774  3 N 2.64-2.72
La 0.3379 0.8012 0.1988  1 N 2.46
La 0.1886 0.7066 0.2934  2 N 2.46-2.58
Pb 0.5810 0.0187 0.9813  1 Pb 3.26, 6 La 3.41-3.51
Pb 0.4190 0.9813 0.0187  1 Pb 3.26, 6 La 3.41-3.51
N 0.0744 0.0485 0.9515  6 La 2.46-2.72
N 0.9256 0.9515 0.0485  6 La 2.46-2.72

This record from Alexandria describes a relaxed V2SnPd crystal. The functional is GGA-PBE.

- E_tot (eV/atom) = -6.52
- density of states at the Fermi level (states/eV/f.u.) = 4.1

abc: 7.2125 7.2125 5.7544
angles: 51.19 51.19 90.00
Closest atoms and distances in Å follow each position.
Sites, in units of the cell vectors:
Sn 0.7500 0.2500 0.5000  2 Pd 2.67, 4 V 2.74
Sn 0.0000 0.0000 0.0000  2 Pd 2.67, 4 V 2.74
Pd 0.5000 0.5000 0.0000  4 V 2.53, 2 Sn 2.67
Pd 0.2500 0.7500 0.5000  4 V 2.53, 2 Sn 2.67
V 0.6041 0.1250 0.2500  2 Pd 2.53, 2 V 2.68, 2 Sn 2.74
V 0.1459 0.6250 0.2500  2 Pd 2.53, 2 V 2.68, 2 Sn 2.74
V 0.8750 0.8541 0.7500  2 Pd 2.53, 2 V 2.68, 2 Sn 2.74
V 0.3750 0.3959 0.7500  2 Pd 2.53, 2 V 2.68, 2 Sn 2.74

This record from Alexandria describes a relaxed GePS crystal. The functional is GGA-PBE.

- energy above the most stable polymorph in this dataset (meV/atom) = 0
- E_tot (eV/atom) = -4.76
- density of states at the Fermi level (states/eV/f.u.) = 1.1
- formation energy without anion corrections (meV per atom) = -38

abc: 6.1968 6.2247 6.3102
angles: 90.00 90.00 90.00
Closest atoms and distances in Å follow each position.
Sites, in units of the cell vectors:
S 0.3168 0.4047 0.6596  1 P 2.08
S 0.8168 0.5953 0.3404  1 P 2.08
S 0.3168 0.9047 0.3404  1 P 2.08
S 0.8168 0.0953 0.6596  1 P 2.08
P 0.0084 0.9045 0.8541  1 S 2.08
P 0.5084 0.5955 0.8541  1 S 2.08
P 0.0084 0.4045 0.1459  1 S 2.08
P 0.5084 0.0955 0.1459  1 S 2.08
Ge 0.9038 0.0187 0.2222  3 P 2.51-2.54, 2 S 2.76-2.79
Ge 0.9038 0.5187 0.7778  3 P 2.51-2.54, 2 S 2.76-2.79
Ge 0.4038 0.9813 0.7778  3 P 2.51-2.54, 2 S 2.76-2.79
Ge 0.4038 0.4813 0.2222  3 P 2.51-2.54, 2 S 2.76-2.79